[1]
Entry from Alexandria via LeMat-Bulk: a relaxed structure of NaCeMoO4 (PBE with a Hubbard U).

## Properties
energy = -7.265 eV per atom
ρ = 4.92 g cm⁻³

a b c (Å): 6.706 6.706 6.706
angles (deg): 120.87 115.71 93.04
Atoms (fractional coordinates):
Na 0.376 0.126 0.250
Na 0.624 0.874 0.750
Ce 0.000 0.500 0.500
Ce 0.500 0.500 0.000
Mo 0.000 0.000 0.500
Mo 0.000 0.500 0.000
O 0.194 0.742 0.452
O 0.210 0.258 0.952
O 0.235 0.270 0.535
O 0.235 0.699 0.965
O 0.765 0.301 0.035
O 0.765 0.730 0.465
O 0.790 0.742 0.048
O 0.806 0.258 0.548

=====

[2]
Entry from Alexandria via LeMat-Bulk: a relaxed structure of NaCeMo2O8 (PBE with a Hubbard U).

## Properties
excess energy over the best structure of this formula in the dataset = 46.2 kJ/mol of formula units
ρ = 3.61 g cm⁻³

a b c (Å): 6.079 6.079 6.941
angles (deg): 90.00 90.00 120.00
Atoms (fractional coordinates):
Na 0.000 0.000 0.000
Ce 0.000 0.000 0.500
Mo 0.333 0.667 0.804
Mo 0.667 0.333 0.196
O 0.168 0.338 0.721
O 0.170 0.832 0.721
O 0.333 0.667 0.055
O 0.338 0.170 0.279
O 0.662 0.830 0.721
O 0.667 0.333 0.945
O 0.830 0.168 0.279
O 0.832 0.662 0.279